1.
First-principles (PBE) data for an optimized crystal structure of Ca3Lu2Ge3O12, as listed in Alexandria via LeMat-Bulk.

## Properties
Energy relative to the elements, uncorrected   -2722 meV per atom
E   -7.14 eV per atom
Spin magnetization   0.00 Bohr magnetons per cell

Lattice parameters (Å, degrees): 12.827 12.827 12.827 90.00 90.00 90.00
Space group Ia-3d (No. 230)
Unique sites:
Ca1 0.000 0.250 0.125 (multiplicity 24)
Lu1 0.000 0.000 0.000 (multiplicity 16)
Ge1 0.000 0.250 0.375 (multiplicity 24)
O1 0.035 0.054 0.658 (multiplicity 96)

=====

2.
First-principles (PBE) data for an optimized crystal structure of CaLuGePd, as listed in Alexandria via LeMat-Bulk.

## Properties
Formation energy   -68.7 kJ/mol of atoms
E   -4.80 eV per atom
Spin magnetization   0.00 Bohr magnetons per cell

Lattice parameters (Å, degrees): 7.015 7.015 7.015 90.00 90.00 90.00
Space group F-43m (No. 216)
Unique sites:
Ca1 0.000 0.000 0.000 (multiplicity 4)
Lu1 0.000 0.000 0.500 (multiplicity 4)
Ge1 0.250 0.250 0.750 (multiplicity 4)
Pd1 0.250 0.250 0.250 (multiplicity 4)

=====

3.
First-principles (PBE) data for an optimized crystal structure of CaLuGePt, as listed in Alexandria via LeMat-Bulk.

## Properties
Formation energy   -79.1 kJ/mol of atoms
E   -5.12 eV per atom
Spin magnetization   0.00 Bohr magnetons per cell

Lattice parameters (Å, degrees): 7.001 7.001 7.001 90.00 90.00 90.00
Space group F-43m (No. 216)
Unique sites:
Ca1 0.000 0.000 0.000 (multiplicity 4)
Lu1 0.000 0.000 0.500 (multiplicity 4)
Ge1 0.250 0.250 0.250 (multiplicity 4)
Pt1 0.250 0.250 0.750 (multiplicity 4)

=====

4.
First-principles (PBE) data for an optimized crystal structure of CaLuZnGe, as listed in Alexandria via LeMat-Bulk.

## Properties
Formation energy   -41.4 kJ/mol of atoms
E   -3.53 eV per atom
Spin magnetization   0.00 Bohr magnetons per cell

Lattice parameters (Å, degrees): 7.106 7.106 7.106 90.00 90.00 90.00
Space group F-43m (No. 216)
Unique sites:
Ca1 0.000 0.000 0.000 (multiplicity 4)
Lu1 0.000 0.000 0.500 (multiplicity 4)
Zn1 0.250 0.250 0.750 (multiplicity 4)
Ge1 0.250 0.250 0.250 (multiplicity 4)

=====

D(E_F) values (in states/eV per atom) by entry order: 0.0000, 0.5064, 0.5464, 0.7798.